Entry 1:
Entry from Alexandria: a geometry-optimized KMg2Cl structure (GGA-PBE).

Properties
M_tot = 0.00 μB per formula unit
Raw formation energy = -0.362 eV per atom
Relative energy among the computed polymorphs = 1.04 eV per formula unit
Crystal system = trigonal

Unit cell a=10.4544 b=10.4544 c=10.4544 alpha=19.93 beta=19.93 gamma=19.93
Element x y z (fractional)
Mg1 0.5175 0.5175 0.5175
Mg2 0.9825 0.9825 0.9825
Cl1 0.2500 0.2500 0.2500
K1 0.7500 0.7500 0.7500

=====

Entry 2:
Entry from Alexandria: a geometry-optimized BaLa2Sb structure (GGA-PBE).

Properties
M_tot = 2.98 μB per formula unit
Raw formation energy = -0.197 eV per atom
Crystal system = cubic

Unit cell a=5.8671 b=5.8671 c=5.8671 alpha=60.00 beta=60.00 gamma=60.00
Site moments in Bohr magnetons follow the coordinates.
Element x y z (fractional)
La1 0.0000 0.0000 0.0000  0.49
La2 0.2500 0.2500 0.2500  0.72
Ba1 0.5000 0.5000 0.5000  0.20
Sb1 0.7500 0.7500 0.7500  -0.03

=====

Entry 3:
Entry from Alexandria: a geometry-optimized ErTm2MgHg4 structure (GGA-PBE).

Properties
M_tot = 0.00 μB per formula unit
Energy relative to the elements = -457 meV/atom
Crystal system = trigonal

Unit cell a=5.1089 b=5.1089 c=8.9558 alpha=73.43 beta=73.43 gamma=60.00
Element x y z (fractional)
Hg1 0.8751 0.8751 0.3748
Hg2 0.6261 0.6261 0.1216
Hg3 0.1249 0.1249 0.6252
Hg4 0.3739 0.3739 0.8784
Mg1 0.5000 0.5000 0.5000
Tm1 0.7539 0.7539 0.7384
Tm2 0.2461 0.2461 0.2616
Er1 0.0000 0.0000 0.0000

=====

Entry 4:
Entry from Alexandria: a geometry-optimized TlSnPOs2 structure (GGA-PBE).

Properties
M_tot = 3.77 μB per formula unit
Energy relative to the elements = 2076 meV/atom
Crystal system = tetragonal

Unit cell a=5.0254 b=5.0120 c=5.0254 alpha=90.00 beta=90.00 gamma=90.00
Site moments in Bohr magnetons follow the coordinates.
Element x y z (fractional)
Tl1 0.5000 0.5000 0.5000  0.07
Os1 0.5000 0.0000 0.0000  1.65
Os2 0.0000 0.0000 0.5000  1.59
Sn1 0.0000 0.0000 0.0000  -0.06
P1 0.0000 0.5000 0.0000  0.10

=====

Entry 5:
Entry from Alexandria: a geometry-optimized CsYPbSe3 structure (GGA-PBE).

Properties
M_tot = 0.00 μB per formula unit
Raw formation energy = -1.305 eV per atom
Crystal system = monoclinic

Unit cell a=4.2632 b=9.2272 c=12.1123 alpha=108.97 beta=90.00 gamma=90.00
Element x y z (fractional)
Se1 0.7500 0.8630 0.1996
Se2 0.2500 0.6302 0.3864
Se3 0.2500 0.5922 0.9012
Se4 0.7500 0.3698 0.6136
Se5 0.2500 0.1370 0.8004
Se6 0.7500 0.4078 0.0988
Pb1 0.2500 0.1584 0.5766
Pb2 0.7500 0.8416 0.4234
Cs1 0.7500 0.7910 0.7584
Cs2 0.2500 0.2090 0.2416
Y1 0.7500 0.3699 0.8571
Y2 0.2500 0.6301 0.1429

=====

Entry 6:
Entry from Alexandria: a geometry-optimized K3Ag4Pd structure (GGA-PBE).

Properties
M_tot = 0.00 μB per formula unit
Energy relative to the elements = 55 meV/atom
Crystal system = orthorhombic

Unit cell a=6.5065 b=5.9629 c=12.8345 alpha=90.00 beta=90.00 gamma=90.00
Element x y z (fractional)
Ag1 0.9650 0.2609 0.5000
Ag2 0.3258 0.5000 0.8874
Ag3 0.6742 0.0000 0.3874
Ag4 0.0350 0.2391 0.0000
Ag5 0.9650 0.7391 0.5000
Ag6 0.3258 0.5000 0.1126
Ag7 0.0350 0.7609 0.0000
Ag8 0.6742 0.0000 0.6126
K1 0.1973 0.0000 0.2557
K2 0.4516 0.5000 0.5000
K3 0.5484 0.0000 0.0000
K4 0.1973 0.0000 0.7443
K5 0.8027 0.5000 0.2443
K6 0.8027 0.5000 0.7557
Pd1 0.3144 0.0000 0.5000
Pd2 0.6856 0.5000 0.0000

=====

> Which value of M_tot does entry 6 give?

0.00 μB per formula unit

=====

> Look up the M_tot of the sixth one.

0.00 μB per formula unit